No. 1
# ThZn3Ir2 PBE optimized geometry
# Formation energy: -43.5 kJ per mole of atoms
data_ThZn3Ir2
_chemical_formula_sum 'Th4 Zn12 Ir8'
_cell_length_a 15.8303
_cell_length_b 3.9856
_cell_length_c 8.0234
_cell_angle_alpha 90.00
_cell_angle_beta 119.65
_cell_angle_gamma 90.00
_space_group_name_H-M_alt 'C 1 2/m 1'
_space_group_IT_number 12
loop_
_space_group_symop_operation_xyz
'x,y,z'
'-x,-y,-z'
'-x,y,-z'
'x,-y,z'
'x+1/2,y+1/2,z'
'-x+1/2,-y+1/2,-z'
'-x+1/2,y+1/2,-z'
'x+1/2,-y+1/2,z'
loop_
_atom_site_label
_atom_site_type_symbol
_atom_site_fract_x
_atom_site_fract_y
_atom_site_fract_z
_atom_site_occupancy
Th1 Th 0.1439 0.0000 0.0400 1
Zn1 Zn 0.0483 0.0000 0.3950 1
Zn2 Zn 0.0982 0.5000 0.6758 1
Zn3 Zn 0.1868 0.5000 0.4643 1
Ir1 Ir 0.0103 0.5000 0.1686 1
Ir2 Ir 0.2160 0.0000 0.7175 1


No. 2
# Th3Zn9Ir2 PBE optimized geometry
# Formation energy: -36.2 kJ per mole of atoms
data_Th3Zn9Ir2
_chemical_formula_sum 'Th6 Zn18 Ir4'
_cell_length_a 4.3327
_cell_length_b 9.1899
_cell_length_c 13.1235
_cell_angle_alpha 90.00
_cell_angle_beta 90.00
_cell_angle_gamma 90.00
_space_group_name_H-M_alt 'I m m m'
_space_group_IT_number 71
_space_group_name_Hall '-I 2 2'
loop_
_atom_site_label
_atom_site_type_symbol
_atom_site_fract_x
_atom_site_fract_y
_atom_site_fract_z
_atom_site_occupancy
Th1 Th 0.0000 0.0000 0.0000 1
Th2 Th 0.0000 0.0000 0.3213 1
Zn1 Zn 0.0000 0.2778 0.1258 1
Zn2 Zn 0.0000 0.3597 0.3231 1
Zn3 Zn 0.0000 0.5000 0.0000 1
Ir1 Ir 0.0000 0.2290 0.5000 1


No. 3
# Th2Zn5Ir4 PBE optimized geometry
# Formation energy: -40.4 kJ per mole of atoms
data_Th2Zn5Ir4
_chemical_formula_sum 'Th8 Zn20 Ir16'
_cell_length_a 5.1718
_cell_length_b 9.7172
_cell_length_c 16.3197
_cell_angle_alpha 90.00
_cell_angle_beta 90.00
_cell_angle_gamma 90.00
_space_group_name_H-M_alt 'F m m m'
_space_group_IT_number 69
_space_group_name_Hall '-F 2 2'
loop_
_atom_site_label
_atom_site_type_symbol
_atom_site_fract_x
_atom_site_fract_y
_atom_site_fract_z
_atom_site_occupancy
Th1 Th 0.0000 0.0000 0.1507 1
Zn1 Zn 0.0000 0.0000 0.5000 1
Zn2 Zn 0.2500 0.2500 0.0000 1
Zn3 Zn 0.2500 0.2500 0.2500 1
Ir1 Ir 0.0000 0.1458 0.3711 1


No. 4
# ThZn4Ir PBE optimized geometry
# ΔE to the lowest computed polymorph: 0.000 eV per atom
# Formation energy: -32.1 kJ per mole of atoms
data_ThZn4Ir
_chemical_formula_sum 'Th2 Zn8 Ir2'
_cell_length_a 7.3195
_cell_length_b 4.3148
_cell_length_c 7.0989
_cell_angle_alpha 90.00
_cell_angle_beta 90.00
_cell_angle_gamma 90.00
_space_group_name_H-M_alt 'P m m a'
_space_group_IT_number 51
loop_
_space_group_symop_operation_xyz
'x,y,z'
'-x,-y,-z'
'-x+1/2,-y,z'
'x+1/2,y,-z'
'x+1/2,-y,-z'
'-x+1/2,y,z'
'-x,y,-z'
'x,-y,z'
loop_
_atom_site_label
_atom_site_type_symbol
_atom_site_fract_x
_atom_site_fract_y
_atom_site_fract_z
_atom_site_occupancy
Th1 Th 0.2500 0.0000 0.1192 1
Zn1 Zn 0.0000 0.0000 0.5000 1
Zn2 Zn 0.0594 0.5000 0.8113 1
Zn3 Zn 0.2500 0.5000 0.4683 1
Ir1 Ir 0.2500 0.0000 0.7336 1


Copy entry 1 word for word.
# ThZn3Ir2 PBE optimized geometry
# Formation energy: -43.5 kJ per mole of atoms
data_ThZn3Ir2
_chemical_formula_sum 'Th4 Zn12 Ir8'
_cell_length_a 15.8303
_cell_length_b 3.9856
_cell_length_c 8.0234
_cell_angle_alpha 90.00
_cell_angle_beta 119.65
_cell_angle_gamma 90.00
_space_group_name_H-M_alt 'C 1 2/m 1'
_space_group_IT_number 12
loop_
_space_group_symop_operation_xyz
'x,y,z'
'-x,-y,-z'
'-x,y,-z'
'x,-y,z'
'x+1/2,y+1/2,z'
'-x+1/2,-y+1/2,-z'
'-x+1/2,y+1/2,-z'
'x+1/2,-y+1/2,z'
loop_
_atom_site_label
_atom_site_type_symbol
_atom_site_fract_x
_atom_site_fract_y
_atom_site_fract_z
_atom_site_occupancy
Th1 Th 0.1439 0.0000 0.0400 1
Zn1 Zn 0.0483 0.0000 0.3950 1
Zn2 Zn 0.0982 0.5000 0.6758 1
Zn3 Zn 0.1868 0.5000 0.4643 1
Ir1 Ir 0.0103 0.5000 0.1686 1
Ir2 Ir 0.2160 0.0000 0.7175 1


Among the records above, which one has the lowest formation energy? ThZn3Ir2